8
Lattice="-1.8997 -3.4366 -1.2936 4.1903 -0.8448 -3.9038 4.2883 -4.4760 5.5735" Properties=species:S:1:pos:R:3 comment="AgHgS2, relaxed, DFT GGA-PBE" sg=Pmn2_1 dos_at_fermi_per_ev_cell=6.2 dft_energy_ev_per_cell=-22.547 formation_energy_uncorrected_ev_per_atom=0.034 pbc="T T T"
Ag 6.3009 -4.6730 0.4896
Ag 2.2183 -4.8822 0.4445
Hg 4.2913 -2.4969 -2.3214
Hg 4.4054 -7.0928 3.0908
S 2.2092 -3.9885 -1.9073
S 4.3461 -6.1655 0.7197
S 2.2168 -2.9944 2.0388
S 4.2185 -5.1426 4.7919

12
Lattice="7.0950 -0.2104 -2.3581 -3.0928 6.3889 -2.3582 -0.3966 -0.6121 6.9937" Properties=species:S:1:pos:R:3 comment="AgHgS, relaxed, DFT GGA-PBE" sg=C2/c e_above_lowest_polymorph_mev_per_atom=147.2 dos_at_fermi_per_ev_cell=3.7 dft_energy_ev_per_cell=-28.246 formation_energy_uncorrected_ev_per_atom=0.073 pbc="T T T"
Ag -1.5464 3.1945 -1.1791
Ag 1.8028 2.7832 1.1387
Ag 0.0000 0.0000 0.0000
Ag -1.7447 2.8884 2.3177
Hg 2.9504 1.7624 -1.2632
Hg -1.6921 5.7590 0.0437
Hg 0.6553 3.8041 3.5406
Hg 5.2977 -0.1925 2.2336
S 0.7322 3.9140 -0.7277
S -2.0196 5.2620 2.7691
S 5.6252 0.3044 -0.4917
S 2.8735 1.6524 3.0051

4
Lattice="3.7888 0.0000 0.0000 1.8944 3.2812 0.0000 1.8944 1.0937 6.5590" Properties=species:S:1:pos:R:3 comment="AgHgS2, relaxed, DFT GGA-PBE" sg=R3m dos_at_fermi_per_ev_cell=3.6 dft_energy_ev_per_cell=-10.719 formation_energy_uncorrected_ev_per_atom=0.172 pbc="T T T"
Ag 5.6833 3.2812 6.5317
Hg 3.7888 2.1875 3.3021
S 1.8944 1.0937 5.0572
S 1.8944 1.0937 1.5065

18
Lattice="-4.5584 4.8766 -3.1271 -1.2357 -0.8419 -7.2182 -7.6002 -3.9365 -0.6702" Properties=species:S:1:pos:R:3 comment="Ag5HgS3, relaxed, DFT GGA-PBE" sg=C2/m dos_at_fermi_per_ev_cell=2.3 dft_energy_ev_per_cell=-53.094 formation_energy_uncorrected_ev_per_atom=0.044 pbc="T T T"
Ag -6.9871 3.2152 -5.9209
Ag -2.3004 0.9905 -5.9073
Ag -4.7885 3.0347 -8.1308
Ag -5.5901 -0.3099 -4.1069
Ag -7.8042 0.4081 -6.9086
Ag -8.6058 -2.9365 -2.8846
Ag -5.0775 -0.0712 -8.2721
Ag -3.4937 3.0442 -4.4380
Ag -6.4072 -3.1170 -5.0946
Ag -8.3167 0.1694 -2.7434
Hg -5.9044 -2.0913 -1.8722
Hg -7.4898 2.1895 -9.1433
S -10.0413 -0.4458 -7.5319
S -5.5223 1.2687 -6.2584
S 0.0000 0.0000 0.0000
S -3.8001 -1.9683 -0.3351
S -3.3530 0.5440 -3.4836
S -7.8719 -1.1705 -4.7571